Material: LiDy2AuO5
Method: DFT, GGA-PBE
State: relaxed

Lattice parameters (Å, degrees): 5.8740 6.5162 6.5162 90.00 90.00 90.00
Last column: nearest neighbours and their distance in Å.
Sites, in units of the cell vectors:
Dy: 0.5000 0.3231 0.8231  4 O 2.21-2.40
Dy: 0.5000 0.1769 0.3231  4 O 2.21-2.40
Dy: 0.5000 0.6769 0.1769  4 O 2.21-2.40
Dy: 0.5000 0.8231 0.6769  4 O 2.21-2.40
Au: 0.0000 0.0000 0.5000  4 O 1.99
Au: 0.0000 0.5000 0.0000  4 O 1.99
Li: 0.0000 0.0000 0.0000  10 O 2.94-2.95, 4 Au 3.26
Li: 0.0000 0.5000 0.5000  10 O 2.94-2.95, 4 Au 3.26
O: 0.2602 0.6386 0.8614  1 Au 1.99, 1 Dy 2.21
O: 0.7398 0.6386 0.8614  1 Au 1.99, 1 Dy 2.21
O: 0.2602 0.3614 0.1386  1 Au 1.99, 1 Dy 2.21
O: 0.7398 0.8614 0.3614  1 Au 1.99, 1 Dy 2.21
O: 0.2602 0.1386 0.6386  1 Au 1.99, 1 Dy 2.21
O: 0.7398 0.1386 0.6386  1 Au 1.99, 1 Dy 2.21
O: 0.5000 0.0000 0.0000  4 Dy 2.40
O: 0.5000 0.5000 0.5000  4 Dy 2.40
O: 0.2602 0.8614 0.3614  1 Au 1.99, 1 Dy 2.21
O: 0.7398 0.3614 0.1386  1 Au 1.99, 1 Dy 2.21

Space-group type ... P4/mbm, No. 127

Material: Sc8C3S4N
Method: DFT, GGA-PBE
State: relaxed

Lattice parameters (Å, degrees): 6.8727 7.1054 6.8730 118.93 120.00 90.00
Last column: nearest neighbours and their distance in Å.
Sites, in units of the cell vectors:
S: 0.0000 0.0000 0.0000  6 Sc 2.62-2.64
S: 0.5000 0.0000 0.5000  6 Sc 2.62-2.64
S: 0.5000 0.0000 0.0000  6 Sc 2.63
S: 0.0000 0.0000 0.5000  6 Sc 2.62-2.64
Sc: 0.7639 0.2936 0.0297  2 C 2.32, 1 N 2.33
Sc: 0.7342 0.7064 0.9703  2 C 2.32, 1 N 2.33
Sc: 0.2361 0.7064 0.9703  2 C 2.32, 1 N 2.33
Sc: 0.2658 0.2936 0.0297  2 C 2.32, 1 N 2.33
Sc: 0.7368 0.7103 0.4735  3 C 2.34, 3 S 2.62
Sc: 0.7638 0.2935 0.5276  2 C 2.32, 1 N 2.33
Sc: 0.2632 0.2897 0.5265  3 C 2.34, 3 S 2.62
Sc: 0.2362 0.7065 0.4724  2 C 2.32, 1 N 2.33
C: 0.5000 0.5000 0.0000  6 Sc 2.32-2.34
C: 0.0000 0.5000 0.5000  6 Sc 2.32-2.34
C: 0.5000 0.5000 0.5000  6 Sc 2.32-2.34
N: 0.0000 0.5000 0.0000  6 Sc 2.33

Space-group type ... R-3m, No. 166

| no. | formation energy from raw total energies (eV/atom) | total magnetization (μB/cell) |
| --- | --- | --- |
| 1 | -2.18 | 0.00 |
| 2 | -1.48 | 0.00 |